A relaxed RbMoN2 crystal, computed with GGA-PBEsol.

Output
E_form (uncorrected)	-12.2	kcal/mol of atoms
energy relative to the lowest polymorph listed for this composition	0.00	eV/f.u.
SG	Pbca, No. 61
E	-7.9885	eV per atom

Cell: 6.063 12.176 16.334 Å, 90.00 90.00 90.00°
Fractional positions:
N: 0.236 0.872 0.618
N: 0.764 0.128 0.382
N: 0.357 0.749 0.964
N: 0.761 0.377 0.385
N: 0.143 0.251 0.464
N: 0.011 0.500 0.253
N: 0.239 0.623 0.615
N: 0.143 0.249 0.964
N: 0.357 0.751 0.464
N: 0.236 0.628 0.118
N: 0.261 0.123 0.615
N: 0.736 0.872 0.882
N: 0.764 0.372 0.882
N: 0.643 0.249 0.536
N: 0.736 0.628 0.382
N: 0.857 0.749 0.536
N: 0.511 0.500 0.247
N: 0.489 0.000 0.253
N: 0.489 0.500 0.753
N: 0.739 0.877 0.385
N: 0.261 0.377 0.115
N: 0.264 0.128 0.118
N: 0.264 0.372 0.618
N: 0.239 0.877 0.115
N: 0.857 0.751 0.036
N: 0.739 0.623 0.885
N: 0.643 0.251 0.036
N: 0.989 0.500 0.747
N: 0.511 0.000 0.747
N: 0.761 0.123 0.885
N: 0.011 0.000 0.753
N: 0.989 0.000 0.247
Mo: 0.332 0.249 0.556
Mo: 0.255 0.501 0.183
Mo: 0.668 0.749 0.944
Mo: 0.245 0.499 0.683
Mo: 0.168 0.751 0.056
Mo: 0.832 0.251 0.444
Mo: 0.745 0.001 0.317
Mo: 0.255 0.999 0.683
Mo: 0.332 0.251 0.056
Mo: 0.755 0.999 0.817
Mo: 0.755 0.501 0.317
Mo: 0.832 0.249 0.944
Mo: 0.668 0.751 0.444
Mo: 0.168 0.749 0.556
Mo: 0.245 0.001 0.183
Mo: 0.745 0.499 0.817
Rb: 0.246 0.000 0.432
Rb: 0.254 0.000 0.932
Rb: 0.254 0.500 0.432
Rb: 0.880 0.249 0.694
Rb: 0.120 0.751 0.306
Rb: 0.754 0.000 0.568
Rb: 0.380 0.249 0.806
Rb: 0.754 0.500 0.068
Rb: 0.120 0.749 0.806
Rb: 0.246 0.500 0.932
Rb: 0.746 0.500 0.568
Rb: 0.380 0.251 0.306
Rb: 0.746 0.000 0.068
Rb: 0.880 0.251 0.194
Rb: 0.620 0.749 0.694
Rb: 0.620 0.751 0.194

***

A relaxed LaP2IrS crystal, computed with GGA-PBEsol.

Output
E_form (uncorrected)	-10.9	kcal/mol of atoms
SG	P4/mmm, No. 123
E	-6.6996	eV per atom

Cell: 4.498 4.498 5.050 Å, 90.00 90.00 90.00°
Fractional positions:
P: 0.500 0.000 0.000
P: 0.000 0.500 0.000
La: 0.500 0.500 0.500
S: 0.000 0.000 0.500
Ir: 0.000 0.000 0.000

***

A relaxed FeS crystal, computed with GGA-PBEsol.

Output
E_form (uncorrected)	-9.2	kcal/mol of atoms
SG	P6_3/mmc, No. 194
E	-7.0721	eV per atom

Cell: 3.278 3.278 5.009 Å, 90.00 90.00 120.00°
Fractional positions:
Fe: 0.000 0.000 0.500
Fe: 0.000 0.000 0.000
S: 0.333 0.667 0.750
S: 0.667 0.333 0.250

***

A relaxed CaGe2Au2 crystal, computed with GGA-PBEsol.

Output
formation energy from the elements	-410	meV/atom
SG	I4/mmm, No. 139
E	-4.3822	eV per atom

Cell: 4.081 4.081 6.768 Å, 107.55 107.55 90.00°
Fractional positions:
Ge: 0.250 0.750 0.500
Ge: 0.750 0.250 0.500
Au: 0.391 0.391 0.782
Au: 0.609 0.609 0.218
Ca: 0.000 0.000 0.000

***

A relaxed YHg2P crystal, computed with GGA-PBEsol.

Output
formation energy from the elements	-491	meV/atom
SG	P4mm, No. 99
E	-3.9277	eV per atom

Cell: 3.820 3.820 6.265 Å, 90.00 90.00 90.00°
Fractional positions:
Hg: 0.500 0.500 0.209
Hg: 0.000 0.000 0.023
Y: 0.500 0.500 0.693
P: 0.000 0.000 0.576

***

A relaxed La3Cu crystal, computed with GGA-PBEsol.

Output
formation energy from the elements	112	meV/atom
SG	Cmmm, No. 65
E	-4.9817	eV per atom

Cell: 3.530 5.540 5.540 Å, 89.90 90.00 90.00°
Fractional positions:
Cu: 0.000 0.000 0.000
La: 0.000 0.500 0.500
La: 0.500 0.500 0.000
La: 0.500 0.000 0.500

***

A relaxed RbSn2Au2 crystal, computed with GGA-PBEsol.

Output
formation energy from the elements	-225	meV/atom
SG	I4/mmm, No. 139
E	-3.7033	eV per atom

Cell: 4.829 4.829 6.564 Å, 111.58 111.58 90.00°
Fractional positions:
Au: 0.625 0.625 0.250
Au: 0.375 0.375 0.750
Sn: 0.250 0.750 0.500
Sn: 0.750 0.250 0.500
Rb: 0.000 0.000 0.000

***

A relaxed ZrSnTeN2 crystal, computed with GGA-PBEsol.

Output
E_form (uncorrected)	5.2	kcal/mol of atoms
SG	P4/mmm, No. 123
E	-6.5588	eV per atom

Cell: 4.215 4.215 5.836 Å, 90.00 90.00 90.00°
Fractional positions:
N: 0.500 0.000 0.000
N: 0.000 0.500 0.000
Te: 0.000 0.000 0.500
Sn: 0.500 0.500 0.500
Zr: 0.000 0.000 0.000

***

A relaxed ScTlCl3 crystal, computed with GGA-PBEsol.

Output
E_form (uncorrected)	-6.4	kcal/mol of atoms
SG	Pm-3m, No. 221
E	-3.3291	eV per atom

Cell: 5.439 5.439 5.439 Å, 90.00 90.00 90.00°
Fractional positions:
Sc: 0.500 0.500 0.500
Cl: 0.000 0.500 0.000
Cl: 0.000 0.000 0.500
Cl: 0.500 0.000 0.000
Tl: 0.000 0.000 0.000

***

A relaxed Mn2SeBrN crystal, computed with GGA-PBEsol.

Output
E_form (uncorrected)	10.6	kcal/mol of atoms
SG	P4/mmm, No. 123
E	-6.2926	eV per atom

Cell: 3.764 3.764 6.662 Å, 90.00 90.00 90.00°
Fractional positions:
Se: 0.000 0.000 0.500
N: 0.000 0.000 0.000
Mn: 0.000 0.500 0.000
Mn: 0.500 0.000 0.000
Br: 0.500 0.500 0.500

***

A relaxed FeP4O12 crystal, computed with GGA-PBEsol.

Output
E_form (uncorrected)	-41.7	kcal/mol of atoms
energy relative to the lowest polymorph listed for this composition	0.73	eV/f.u.
SG	Pnma, No. 62
E	-7.4042	eV per atom

Cell: 9.071 9.278 10.317 Å, 90.00 90.00 90.00°
Fractional positions:
O: 0.095 0.635 0.369
O: 0.250 0.887 0.734
O: 0.595 0.365 0.631
O: 0.750 0.109 0.948
O: 0.750 0.874 0.623
O: 0.112 0.347 0.975
O: 0.250 0.891 0.052
O: 0.112 0.847 0.525
O: 0.888 0.153 0.475
O: 0.750 0.613 0.234
O: 0.250 0.641 0.641
O: 0.089 0.394 0.216
O: 0.905 0.365 0.631
O: 0.388 0.847 0.525
O: 0.888 0.653 0.025
O: 0.388 0.347 0.975
O: 0.595 0.865 0.869
O: 0.405 0.135 0.131
O: 0.589 0.106 0.716
O: 0.750 0.609 0.552
O: 0.250 0.626 0.123
O: 0.120 0.198 0.585
O: 0.620 0.302 0.085
O: 0.411 0.894 0.284
O: 0.880 0.302 0.085
O: 0.750 0.374 0.877
O: 0.750 0.113 0.266
O: 0.589 0.606 0.784
O: 0.250 0.391 0.448
O: 0.380 0.698 0.915
O: 0.250 0.126 0.377
O: 0.405 0.635 0.369
O: 0.612 0.153 0.475
O: 0.612 0.653 0.025
O: 0.750 0.859 0.141
O: 0.411 0.394 0.216
O: 0.905 0.865 0.869
O: 0.620 0.802 0.415
O: 0.250 0.387 0.766
O: 0.911 0.606 0.784
O: 0.380 0.198 0.585
O: 0.250 0.141 0.859
O: 0.089 0.894 0.284
O: 0.911 0.106 0.716
O: 0.750 0.359 0.359
O: 0.880 0.802 0.415
O: 0.095 0.135 0.131
O: 0.120 0.698 0.915
P: 0.250 0.734 0.015
P: 0.750 0.701 0.113
P: 0.950 0.211 0.610
P: 0.050 0.789 0.390
P: 0.050 0.289 0.110
P: 0.750 0.766 0.515
P: 0.750 0.266 0.985
P: 0.450 0.289 0.110
P: 0.450 0.789 0.390
P: 0.950 0.711 0.890
P: 0.550 0.211 0.610
P: 0.250 0.234 0.485
P: 0.550 0.711 0.890
P: 0.750 0.201 0.387
P: 0.250 0.799 0.613
P: 0.250 0.299 0.887
Fe: 0.750 0.487 0.710
Fe: 0.250 0.013 0.210
Fe: 0.250 0.513 0.290
Fe: 0.750 0.987 0.790

***

A relaxed Li6CoOF6 crystal, computed with GGA-PBEsol.

Output
E_form (uncorrected)	-60.0	kcal/mol of atoms
SG	I4/mmm, No. 139
E	-5.1968	eV per atom

Cell: 2.823 2.823 14.545 Å, 95.57 95.57 90.00°
Fractional positions:
O: 0.000 0.000 0.000
Li: 0.925 0.925 0.851
Li: 0.646 0.646 0.292
Li: 0.075 0.075 0.149
Li: 0.215 0.215 0.430
Li: 0.354 0.354 0.708
Li: 0.785 0.785 0.570
F: 0.577 0.577 0.154
F: 0.146 0.146 0.291
F: 0.854 0.854 0.709
F: 0.715 0.715 0.431
F: 0.423 0.423 0.846
F: 0.285 0.285 0.569
Co: 0.500 0.500 0.000

***

A relaxed CrNi6Ru crystal, computed with GGA-PBEsol.

Output
formation energy from the elements	90	meV/atom
SG	Cmmm, No. 65
E	-7.0794	eV per atom

Cell: 6.100 6.100 9.969 Å, 90.00 90.00 109.58°
Fractional positions:
Ni: 0.000 0.000 0.500
Ni: 0.750 0.250 0.248
Ni: 0.623 0.872 0.627
Ni: 0.250 0.750 0.752
Ni: 0.377 0.128 0.373
Ni: 0.750 0.250 0.752
Ni: 0.128 0.377 0.373
Ni: 0.250 0.750 0.248
Ni: 0.623 0.874 0.877
Ni: 0.128 0.377 0.627
Ni: 0.377 0.128 0.627
Ni: 0.000 0.000 0.000
Ni: 0.874 0.623 0.123
Ni: 0.500 0.500 0.000
Ni: 0.874 0.623 0.877
Ni: 0.623 0.872 0.373
Ni: 0.377 0.126 0.877
Ni: 0.126 0.377 0.877
Ni: 0.126 0.377 0.123
Ni: 0.872 0.623 0.627
Ni: 0.500 0.500 0.500
Ni: 0.377 0.126 0.123
Ni: 0.623 0.874 0.123
Ni: 0.872 0.623 0.373
Cr: 0.500 0.500 0.752
Cr: 0.250 0.750 0.000
Cr: 0.750 0.250 0.000
Cr: 0.500 0.500 0.248
Ru: 0.251 0.749 0.500
Ru: 0.000 0.000 0.750
Ru: 0.749 0.251 0.500
Ru: 0.000 0.000 0.250

***

A relaxed NaAlTlOs2 crystal, computed with GGA-PBEsol.

Output
formation energy from the elements	2523	meV/atom
SG	P4/mmm, No. 123
E	-3.9874	eV per atom

Cell: 4.612 4.612 4.631 Å, 90.00 90.00 90.00°
Fractional positions:
Na: 0.000 0.000 0.000
Os: 0.500 0.000 0.000
Os: 0.000 0.500 0.000
Tl: 0.000 0.000 0.500
Al: 0.500 0.500 0.500

***

A relaxed ZnIr2Os crystal, computed with GGA-PBEsol.

Output
formation energy from the elements	272	meV/atom
SG	P4/mmm, No. 123
E	-8.0893	eV per atom

Cell: 2.741 4.543 4.543 Å, 90.00 90.00 90.00°
Fractional positions:
Zn: 0.500 0.000 0.000
Ir: 0.000 0.500 0.000
Ir: 0.000 0.000 0.500
Os: 0.500 0.500 0.500

***

A relaxed Mg5Ag crystal, computed with GGA-PBEsol.

Output
formation energy from the elements	-64	meV/atom
SG	R32, No. 155
E	-2.0467	eV per atom

Cell: 5.347 5.347 5.834 Å, 62.73 62.73 60.00°
Fractional positions:
Mg: 0.165 0.165 0.506
Mg: 0.343 0.657 0.000
Mg: 0.657 0.000 0.000
Mg: 0.000 0.343 0.000
Mg: 0.835 0.835 0.494
Ag: 0.500 0.500 0.500

***

A relaxed AlCoPd2Cl crystal, computed with GGA-PBEsol.

Output
E_form (uncorrected)	14.1	kcal/mol of atoms
SG	P4/mmm, No. 123
E	-4.5398	eV per atom

Cell: 4.542 4.529 4.529 Å, 90.00 90.00 90.00°
Fractional positions:
Pd: 0.000 0.000 0.500
Pd: 0.000 0.500 0.000
Al: 0.500 0.000 0.000
Co: 0.000 0.000 0.000
Cl: 0.500 0.500 0.500

***

A relaxed ReNi6Au crystal, computed with GGA-PBEsol.

Output
formation energy from the elements	33	meV/atom
SG	Cmmm, No. 65
E	-6.7421	eV per atom

Cell: 6.228 6.228 10.199 Å, 90.00 90.00 109.27°
Fractional positions:
Ni: 0.500 0.500 0.000
Ni: 0.116 0.371 0.620
Ni: 0.755 0.245 0.258
Ni: 0.245 0.755 0.742
Ni: 0.884 0.629 0.380
Ni: 0.000 0.000 0.500
Ni: 0.629 0.884 0.620
Ni: 0.116 0.371 0.380
Ni: 0.629 0.884 0.380
Ni: 0.119 0.364 0.130
Ni: 0.881 0.636 0.870
Ni: 0.364 0.119 0.130
Ni: 0.636 0.881 0.130
Ni: 0.500 0.500 0.500
Ni: 0.371 0.116 0.620
Ni: 0.119 0.364 0.870
Ni: 0.755 0.245 0.742
Ni: 0.000 0.000 0.000
Ni: 0.884 0.629 0.620
Ni: 0.245 0.755 0.258
Ni: 0.371 0.116 0.380
Ni: 0.881 0.636 0.130
Ni: 0.636 0.881 0.870
Ni: 0.364 0.119 0.870
Au: 0.255 0.745 0.000
Au: 0.500 0.500 0.251
Au: 0.745 0.255 0.000
Au: 0.500 0.500 0.749
Re: 0.000 0.000 0.756
Re: 0.751 0.249 0.500
Re: 0.249 0.751 0.500
Re: 0.000 0.000 0.244